Entry from Alexandria: Ho2Cd3In3 after structural relaxation (PBE).

## Properties
Its crystal system is orthorhombic. For the density, the calculation gives 8.7 g cm⁻³. The total energy comes out at -2.861 eV/atom.

Cell and atoms, written as POSCAR:
```
Ho2Cd3In3
1.0
4.650 0.000 0.000
0.000 4.566 0.000
0.000 0.000 9.050
In Ho Cd
3 2 3
Direct
0.500 0.000 0.500
0.000 0.500 0.500
0.000 0.500 0.000
0.000 0.000 0.749
0.000 0.000 0.251
0.500 0.500 0.245
0.500 0.000 0.000
0.500 0.500 0.755
```


Entry from Alexandria: InNi after structural relaxation (PBE).

## Properties
Its crystal system is orthorhombic. For the density, the calculation gives 8.7 g cm⁻³. The total energy comes out at -4.356 eV/atom.

Cell and atoms, written as POSCAR:
```
InNi
1.0
4.098 0.000 0.000
0.000 5.240 0.000
0.000 0.000 6.151
Ni In
4 4
Direct
0.250 0.639 0.968
0.250 0.861 0.468
0.750 0.361 0.032
0.750 0.139 0.532
0.250 0.363 0.327
0.250 0.137 0.827
0.750 0.637 0.673
0.750 0.863 0.173
```


Entry from Alexandria: KSr2TaB after structural relaxation (PBE).

## Properties
Its crystal system is tetragonal. For the density, the calculation gives 4.0 g cm⁻³. The total energy comes out at -2.037 eV/atom.

Cell and atoms, written as POSCAR:
```
KSr2TaB
1.0
-1.791 1.102 -5.414
1.092 -4.689 -1.316
-5.377 -1.657 1.442
Sr Ta B K
2 1 1 1
Direct
0.500 0.000 0.000
0.000 0.000 0.500
0.000 0.500 0.000
0.500 0.500 0.500
0.000 0.000 0.000
```


Entry from Alexandria: CrMoOs after structural relaxation (PBE).

## Properties
Its crystal system is tetragonal. As for the polymorph energy (0 for the lowest one): 0.000 eV/f.u. For the density, the calculation gives 13.2 g cm⁻³.

Cell and atoms, written as POSCAR:
```
CrMoOs
1.0
-2.485 5.396 1.371
-1.417 3.696 4.637
3.675 -3.719 -3.137
Mo Cr Os
1 1 1
Direct
0.335 0.335 0.000
0.010 0.010 0.000
0.655 0.655 0.000
```


Entry from Alexandria: Ca3TlPd after structural relaxation (PBE).

## Properties
Its crystal system is cubic. As for the polymorph energy (0 for the lowest one): 0.689 eV/f.u. For the density, the calculation gives 4.2 g cm⁻³.

Cell and atoms, written as POSCAR:
```
Ca3TlPd
1.0
5.545 0.000 0.000
0.000 5.545 0.000
0.000 0.000 5.545
Ca Tl Pd
3 1 1
Direct
0.500 0.000 0.000
0.000 0.500 0.000
0.000 0.000 0.500
0.500 0.500 0.500
0.000 0.000 0.000
```


Entry from Alexandria: Y4Er3Ag after structural relaxation (PBE).

## Properties
Its crystal system is tetragonal. For the density, the calculation gives 6.7 g cm⁻³. The total energy comes out at -5.351 eV/atom.

Cell and atoms, written as POSCAR:
```
Y4Er3Ag
1.0
-1.953 0.537 2.909
2.278 -1.950 1.890
10.090 15.562 3.900
Y Er Ag
4 3 1
Direct
0.000 0.000 0.898
0.000 0.000 0.368
0.000 0.000 0.632
0.000 0.000 0.102
0.500 0.500 0.764
0.500 0.500 0.500
0.500 0.500 0.236
0.500 0.500 0.000
```


Entry from Alexandria: ZrTiW2 after structural relaxation (PBE).

## Properties
Its crystal system is cubic. As for the polymorph energy (0 for the lowest one): 0.000 eV/f.u. For the density, the calculation gives 12.1 g cm⁻³.

Cell and atoms, written as POSCAR:
```
ZrTiW2
1.0
0.000 3.267 3.267
3.267 0.000 3.267
3.267 3.267 0.000
Zr W Ti
1 2 1
Direct
0.500 0.500 0.500
0.250 0.250 0.250
0.750 0.750 0.750
0.000 0.000 0.000
```


Entry from Alexandria: AlV4W after structural relaxation (PBE).

## Properties
Its crystal system is orthorhombic. As for the polymorph energy (0 for the lowest one): 0.000 eV/f.u. For the density, the calculation gives 8.1 g cm⁻³.

Cell and atoms, written as POSCAR:
```
AlV4W
1.0
-3.084 -2.956 -0.709
2.749 -2.275 -2.471
2.915 -0.830 4.007
W Al V
1 1 4
Direct
0.000 0.000 0.000
0.500 0.500 0.000
0.328 0.000 0.655
0.174 0.500 0.348
0.826 0.500 0.652
0.672 0.000 0.345
```


Entry from Alexandria: AcPuGa2Ir2 after structural relaxation (PBE).

## Properties
Its crystal system is trigonal. For the density, the calculation gives 12.6 g cm⁻³. The total energy comes out at -7.672 eV/atom.

Cell and atoms, written as POSCAR:
```
AcPuGa2Ir2
1.0
-1.202 -0.470 4.276
-2.848 -1.113 -3.255
2.753 -7.042 0.001
Ga Pu Ir Ac
2 1 2 1
Direct
0.333 0.667 0.289
0.667 0.333 0.711
0.000 0.000 0.500
0.333 0.667 0.698
0.667 0.333 0.302
0.000 0.000 0.000
```


Entry from Alexandria: KCa2LaPd after structural relaxation (PBE).

## Properties
Its crystal system is tetragonal. For the density, the calculation gives 3.0 g cm⁻³. The total energy comes out at -3.254 eV/atom.

Cell and atoms, written as POSCAR:
```
KCa2LaPd
1.0
-1.535 5.330 -2.149
-4.353 -2.531 -3.167
-3.543 0.713 4.300
Pd Ca K La
1 2 1 1
Direct
0.000 0.000 0.000
0.500 0.000 0.000
0.000 0.500 0.000
0.500 0.500 0.500
0.000 0.000 0.500
```


Entry from Alexandria: TlCu2Br after structural relaxation (PBE).

## Properties
Its crystal system is monoclinic. As for the polymorph energy (0 for the lowest one): 0.000 eV/f.u. For the density, the calculation gives 7.1 g cm⁻³. The formation energy (no corrections) is 0.05 eV/atom.

Cell and atoms, written as POSCAR:
```
TlCu2Br
1.0
3.538 0.000 0.000
0.000 4.520 -0.037
0.000 0.132 6.036
Cu Tl Br
2 1 1
Direct
0.000 0.004 0.059
0.500 0.998 0.351
0.000 0.499 0.320
0.500 0.998 0.769
```


Entry from Alexandria: Pu3AsI3 after structural relaxation (PBE).

## Properties
Its crystal system is monoclinic. For the density, the calculation gives 8.5 g cm⁻³. The formation energy (no corrections) is -0.94 eV/atom.

Cell and atoms, written as POSCAR:
```
Pu3AsI3
1.0
-3.779 -0.298 1.866
-0.217 -8.690 -1.829
5.484 -2.762 10.663
I Pu As
6 6 2
Direct
0.250 0.853 0.878
0.750 0.621 0.639
0.750 0.622 0.125
0.750 0.147 0.122
0.250 0.378 0.875
0.250 0.379 0.361
0.250 0.348 0.618
0.250 0.882 0.141
0.750 0.652 0.382
0.250 0.898 0.612
0.750 0.102 0.388
0.750 0.118 0.859
0.250 0.876 0.375
0.750 0.124 0.625
```


Entry from Alexandria: K3Pm2ZrTe6 after structural relaxation (PBE).

## Properties
Its crystal system is monoclinic. For the density, the calculation gives 4.9 g cm⁻³. The formation energy (no corrections) is -1.24 eV/atom.

Cell and atoms, written as POSCAR:
```
K3Pm2ZrTe6
1.0
-7.677 0.692 -0.355
3.282 -3.574 6.000
1.937 8.199 2.163
Te K Zr Pm
6 3 1 2
Direct
0.930 0.614 0.790
0.245 0.245 0.788
0.614 0.930 0.790
0.386 0.070 0.210
0.070 0.386 0.210
0.755 0.755 0.212
0.828 0.172 0.500
0.172 0.828 0.500
0.500 0.500 0.500
0.000 0.000 0.000
0.334 0.666 0.000
0.666 0.334 0.000
```


Entry from Alexandria: AcTb7Nd4 after structural relaxation (PBE).

## Properties
Its crystal system is triclinic. As for the polymorph energy (0 for the lowest one): 0.000 eV/f.u. For the density, the calculation gives 7.8 g cm⁻³.

Cell and atoms, written as POSCAR:
```
AcTb7Nd4
1.0
7.018 1.904 0.923
5.203 7.777 2.526
-1.047 -0.469 8.991
Tb Nd Ac
7 4 1
Direct
0.752 0.500 0.999
0.028 0.720 0.334
0.500 0.000 0.000
0.777 0.223 0.336
0.248 0.500 0.001
0.223 0.777 0.664
0.972 0.280 0.666
0.279 0.221 0.332
0.532 0.719 0.336
0.468 0.281 0.664
0.721 0.779 0.668
0.000 0.000 0.000
```


Entry from Alexandria: Pu3Cd4Au4 after structural relaxation (PBE).

## Properties
Its crystal system is orthorhombic. As for the polymorph energy (0 for the lowest one): 0.000 eV/f.u. For the density, the calculation gives 12.4 g cm⁻³.

Cell and atoms, written as POSCAR:
```
Pu3Cd4Au4
1.0
-3.300 2.633 0.205
-4.631 -6.040 3.032
6.000 3.703 5.472
Au Cd Pu
4 4 3
Direct
0.500 0.192 0.000
0.234 0.734 0.468
0.766 0.266 0.532
0.500 0.808 0.000
0.671 0.478 0.343
0.329 0.522 0.657
0.671 0.864 0.343
0.329 0.136 0.657
0.000 0.500 0.000
0.114 0.114 0.228
0.886 0.886 0.772
```


Entry from Alexandria: Nd3Er4Mg after structural relaxation (PBE).

## Properties
Its crystal system is monoclinic. As for the polymorph energy (0 for the lowest one): 0.574 eV/f.u. For the density, the calculation gives 7.4 g cm⁻³.

Cell and atoms, written as POSCAR:
```
Nd3Er4Mg
1.0
5.574 0.000 -1.338
-0.334 5.738 -1.392
-0.928 -0.992 8.411
Nd Er Mg
3 4 1
Direct
0.000 0.500 0.000
0.871 0.907 0.742
0.129 0.093 0.258
0.749 0.303 0.499
0.628 0.671 0.255
0.251 0.697 0.501
0.372 0.329 0.745
0.500 0.000 0.000
```


Entry from Alexandria: PrGdPd2 after structural relaxation (PBE).

## Properties
Its crystal system is trigonal. As for the polymorph energy (0 for the lowest one): 0.307 eV/f.u. For the density, the calculation gives 8.2 g cm⁻³.

Cell and atoms, written as POSCAR:
```
PrGdPd2
1.0
4.189 0.000 0.000
2.094 3.628 0.000
2.094 1.209 6.807
Gd Pr Pd
1 1 2
Direct
0.500 0.500 0.500
0.000 0.000 0.000
0.754 0.754 0.739
0.246 0.246 0.261
```


Entry from Alexandria: Dy2CdTc after structural relaxation (PBE).

## Properties
Its crystal system is trigonal. For the density, the calculation gives 8.3 g cm⁻³. The total energy comes out at -4.902 eV/atom.

Cell and atoms, written as POSCAR:
```
Dy2CdTc
1.0
-0.708 -0.666 3.288
-2.447 -2.264 0.802
6.074 -8.688 1.335
Cd Dy Tc
1 2 1
Direct
0.000 0.000 0.000
0.896 0.896 0.311
0.104 0.104 0.689
0.500 0.500 0.500
```


Entry from Alexandria: MgRe after structural relaxation (PBE).

## Properties
Its crystal system is orthorhombic. As for the polymorph energy (0 for the lowest one): 0.843 eV/f.u. For the density, the calculation gives 9.8 g cm⁻³.

Cell and atoms, written as POSCAR:
```
MgRe
1.0
-2.670 3.232 2.484
-11.326 -9.448 0.117
2.647 -3.088 6.864
Mg Re
16 16
Direct
0.000 0.000 0.335
0.250 0.750 0.915
0.750 0.250 0.585
0.000 0.500 0.165
0.500 0.000 0.165
0.750 0.750 0.415
0.750 0.750 0.085
0.750 0.250 0.915
0.250 0.250 0.085
0.000 0.500 0.835
0.250 0.750 0.585
0.500 0.500 0.335
0.250 0.250 0.415
0.500 0.000 0.835
0.500 0.500 0.665
0.000 0.000 0.665
0.000 0.083 0.000
0.500 0.917 0.500
0.500 0.417 0.000
0.000 0.417 0.500
0.000 0.917 0.000
0.250 0.667 0.250
0.250 0.167 0.750
0.500 0.583 0.000
0.500 0.083 0.500
0.750 0.667 0.750
0.250 0.833 0.250
0.750 0.333 0.250
0.250 0.333 0.750
0.750 0.167 0.250
0.750 0.833 0.750
0.000 0.583 0.500
```


Entry from Alexandria: KMoC2 after structural relaxation (PBE).

## Properties
Its crystal system is cubic. As for the polymorph energy (0 for the lowest one): 7.041 eV/f.u. For the density, the calculation gives 5.1 g cm⁻³.

Cell and atoms, written as POSCAR:
```
KMoC2
1.0
0.472 -3.739 -1.796
-2.450 -3.185 1.134
-2.908 -1.435 -2.629
K Mo C
1 1 2
Direct
0.000 0.000 0.000
0.500 0.500 0.500
0.250 0.250 0.250
0.750 0.750 0.750
```